(1)
Below is a relaxed Be2NbCoTc crystal, with properties calculated at the PBEsol level.

Summary:
Space group: No. 123
E_tot, eV per atom: -5.58
N(E_F), states/eV/f.u.: 8.08
Calculated formation energy, kJ/mol of formula units: 957.3
M_tot, μB per atom: 0.58
Calculated density, g cm⁻³: 5.2
V, Å³/cell: 85.4

Cell and atoms, written as POSCAR:
```
Be2NbCoTc
1.0
-0.874 2.301 -3.554
2.712 -2.483 -2.274
-3.436 -2.841 -0.995
Be Nb Co Tc
2 1 1 1
Cartesian
1.356 -1.242 -1.137 Be
-0.437 1.151 -1.777 Be
0.000 0.000 0.000 Nb
-0.799 -1.512 -3.412 Co
-1.718 -1.421 -0.498 Tc
```



(2)
Below is a relaxed BeCo4Ni crystal, with properties calculated at the PBEsol level.

Summary:
Space group: No. 216
E_tot, eV per atom: -6.57
N(E_F), states/eV/f.u.: 8.51
Calculated formation energy, kJ/mol of formula units: 165.4
M_tot, μB per atom: 1.09
Calculated density, g cm⁻³: 7.8
V, Å³/cell: 64.7

Cell and atoms, written as POSCAR:
```
BeCo4Ni
1.0
-3.065 2.971 -1.440
-0.382 0.889 -4.400
-3.617 -1.421 -2.279
Be Co Ni
1 4 1
Cartesian
0.000 0.000 0.000 Be
-2.649 0.915 -3.044 Co
-4.458 0.205 -4.184 Co
-4.182 2.401 -3.764 Co
-2.840 1.359 -5.245 Co
-5.299 1.830 -6.089 Ni
```



Question: Among the records above, which one has the highest calculated density?
Answer: BeCo4Ni



Question: What is the formula in the second record?
Answer: BeCo4Ni



Question: Which of these has the lowest V?
Answer: BeCo4Ni



Question: Which value of V does entry 2 give?
Answer: 64.7 Å³/cell